# 1
La6SmHoEr2 | PBE | optimized geometry

Output
- Calculated formation energy: 107 meV per atom
- ρ: 7.033 g cm⁻³
- Space group: No. 15

Lattice parameters (Å, degrees): 9.009 9.009 9.831 94.42 94.42 117.44
Fractional positions:
La (0.004, 0.562, 0.193)
La (0.108, 0.758, 0.552)
La (0.242, 0.892, 0.948)
La (0.297, 0.509, 0.380)
La (0.438, 0.996, 0.307)
La (0.491, 0.703, 0.120)
La (0.509, 0.297, 0.880)
La (0.562, 0.004, 0.693)
La (0.703, 0.491, 0.620)
La (0.758, 0.108, 0.052)
La (0.892, 0.242, 0.448)
La (0.996, 0.438, 0.807)
Sm (0.025, 0.975, 0.250)
Sm (0.975, 0.025, 0.750)
Ho (0.411, 0.589, 0.750)
Ho (0.589, 0.411, 0.250)
Er (0.198, 0.292, 0.047)
Er (0.292, 0.198, 0.547)
Er (0.708, 0.802, 0.453)
Er (0.802, 0.708, 0.953)

# 2
La2Sm4HoEr | PBE | optimized geometry

Output
- Calculated formation energy: 29 meV per atom
- ρ: 7.418 g cm⁻³
- Space group: No. 10

Lattice parameters (Å, degrees): 5.114 5.142 10.312 90.00 90.10 90.00
Fractional positions:
La (0.000, 0.000, 0.000)
La (0.500, 0.500, 0.500)
Sm (0.000, 0.500, 0.249)
Sm (0.000, 0.500, 0.751)
Sm (0.500, 0.000, 0.251)
Sm (0.500, 0.000, 0.749)
Ho (0.000, 0.000, 0.500)
Er (0.500, 0.500, 0.000)

# 3
LaSm2HoEr | PBE | optimized geometry

Output
- Calculated formation energy: 259 meV per atom
- ρ: 7.234 g cm⁻³
- Space group: No. 47

Lattice parameters (Å, degrees): 3.667 5.620 8.597 90.00 90.00 90.00
Fractional positions:
La (0.000, 0.000, 0.000)
Sm (0.000, 0.500, 0.320)
Sm (0.000, 0.500, 0.680)
Ho (0.500, 0.000, 0.500)
Er (0.500, 0.500, 0.000)